A relaxed structure of Er2Mg2Ge3. Source: the Alexandria database, functional PBE.

Structure (CIF):
```
data_Er2Mg2Ge3
_chemical_formula_sum 'Er8 Mg8 Ge12'
_cell_length_a 15.168
_cell_length_b 4.332
_cell_length_c 11.957
_cell_angle_alpha 90.00
_cell_angle_beta 126.30
_cell_angle_gamma 90.00
_symmetry_space_group_name_H-M 'C 1 2/m 1'
_symmetry_Int_Tables_number 12
_symmetry_space_group_name_Hall '-C 2y'
loop_
_atom_site_label
_atom_site_type_symbol
_atom_site_fract_x
_atom_site_fract_y
_atom_site_fract_z
Er1 Er 0.102 0.000 0.449
Er2 Er 0.229 0.000 0.824
Mg1 Mg 0.054 0.500 0.827
Mg2 Mg 0.091 0.000 0.163
Ge1 Ge 0.087 0.500 0.622
Ge2 Ge 0.141 0.000 0.985
Ge3 Ge 0.168 0.500 0.332
```

**DFT total energy**: -4.28 eV/atom
**Total magnetic moment**: 0.000 μB per atom
**Calculated volume**: 633.2 Å³/cell